Entry from Alexandria: an optimized crystal structure of CeMnP2O8 (PBE with a Hubbard U).

Lattice parameters (Å, degrees): 5.1822 5.1822 6.8486 90.00 90.00 120.00
Closest atoms and distances in Å follow each position.
Space group P-3m1 (No. 164)
Symmetry-distinct sites (fractional):
Ce1 0.0000 0.0000 0.0000 x1  6 O 2.42
Mn1 0.0000 0.0000 0.5000 x1  6 O 2.17
P1 0.3333 0.6667 0.7971 x2  4 O 1.54-1.55
O1 0.1696 0.3392 0.7254 x6  1 P 1.55
O2 0.3333 0.6667 0.0217 x2  1 P 1.54

Values from the calculation:
Calculated total energy: -7.779 eV per atom
Magnetization: 5.12 μB per formula unit